A plane-wave DFT calculation with GGA-PBE was carried out for crystalline BiPbN2F at its relaxed geometry.

Cell lengths 4.5264, 4.5264, 4.5442 Å; angles 90.00, 90.00, 90.00 degrees
Element x y z (fractional)
Bi  0.0000  0.0000  0.0000
Pb  0.5000  0.5000  0.5000
N  0.0000  0.5000  0.0000
N  0.5000  0.0000  0.0000
F  0.0000  0.0000  0.5000

Magnetic moment ... 0.00 μB/cell
Crystal system ... tetragonal
Energy above the most stable polymorph in this dataset ... 0.000 eV per atom
Space group ... P4/mmm (123)

---

A plane-wave DFT calculation with GGA-PBE was carried out for crystalline Bi2PbNF at its relaxed geometry.

Cell lengths 4.9529, 4.9529, 4.4875 Å; angles 90.00, 90.00, 90.00 degrees
Element x y z (fractional)
Bi  0.0000  0.5000  0.0000
Bi  0.5000  0.0000  0.0000
Pb  0.0000  0.0000  0.5000
N  0.5000  0.5000  0.0000
F  0.5000  0.5000  0.5000

Magnetic moment ... 0.34 μB/cell
Crystal system ... tetragonal
Space group ... P4/mmm (123)

---

A plane-wave DFT calculation with GGA-PBE was carried out for crystalline BiPdN2F at its relaxed geometry.

Cell lengths 4.3523, 4.3523, 4.3116 Å; angles 90.00, 90.00, 90.00 degrees
Element x y z (fractional)
Bi  0.0000  0.0000  0.0000
Pd  0.5000  0.5000  0.5000
N  0.0000  0.5000  0.0000
N  0.5000  0.0000  0.0000
F  0.0000  0.0000  0.5000

Magnetic moment ... 0.56 μB/cell
Crystal system ... tetragonal
Energy above the most stable polymorph in this dataset ... 0.427 eV per atom
Space group ... P4/mmm (123)

---

A plane-wave DFT calculation with GGA-PBE was carried out for crystalline BiPdN2F at its relaxed geometry.

Cell lengths 4.0770, 4.0770, 4.1416 Å; angles 90.00, 90.00, 90.00 degrees
Element x y z (fractional)
Bi  0.0000  0.0000  0.0000
Pd  0.5000  0.5000  0.5000
N  0.0000  0.5000  0.5000
N  0.5000  0.0000  0.5000
F  0.5000  0.5000  0.0000

Magnetic moment ... 0.87 μB/cell
Crystal system ... tetragonal
Energy above the most stable polymorph in this dataset ... 0.000 eV per atom
Space group ... P4/mmm (123)

---

A plane-wave DFT calculation with GGA-PBE was carried out for crystalline BiPtNF2 at its relaxed geometry.

Cell lengths 4.7774, 4.7774, 3.6573 Å; angles 90.00, 90.00, 90.00 degrees
Element x y z (fractional)
Bi  0.0000  0.0000  0.0000
Pt  0.5000  0.5000  0.5000
N  0.5000  0.5000  0.0000
F  0.0000  0.5000  0.5000
F  0.5000  0.0000  0.5000

Magnetic moment ... 0.00 μB/cell
Crystal system ... tetragonal
Energy above the most stable polymorph in this dataset ... 0.000 eV per atom
Space group ... P4/mmm (123)

---

A plane-wave DFT calculation with GGA-PBE was carried out for crystalline BiPtNF2 at its relaxed geometry.

Cell lengths 4.3861, 4.3861, 4.5934 Å; angles 90.00, 90.00, 90.00 degrees
Element x y z (fractional)
Bi  0.0000  0.0000  0.0000
Pt  0.5000  0.5000  0.5000
N  0.0000  0.0000  0.5000
F  0.0000  0.5000  0.0000
F  0.5000  0.0000  0.0000

Magnetic moment ... 0.68 μB/cell
Crystal system ... tetragonal
Energy above the most stable polymorph in this dataset ... 0.359 eV per atom
Space group ... P4/mmm (123)

---

A plane-wave DFT calculation with GGA-PBE was carried out for crystalline RbBiNF2 at its relaxed geometry.

Cell lengths 4.7984, 4.7984, 4.2232 Å; angles 90.00, 90.00, 90.00 degrees
Element x y z (fractional)
Rb  0.0000  0.0000  0.0000
Bi  0.5000  0.5000  0.5000
N  0.5000  0.5000  0.0000
F  0.0000  0.5000  0.5000
F  0.5000  0.0000  0.5000

Magnetic moment ... 0.00 μB/cell
Crystal system ... tetragonal
Energy above the most stable polymorph in this dataset ... 0.000 eV per atom
Space group ... P4/mmm (123)

---

A plane-wave DFT calculation with GGA-PBE was carried out for crystalline RbBiNF2 at its relaxed geometry.

Cell lengths 4.7138, 4.7138, 4.6609 Å; angles 90.00, 90.00, 90.00 degrees
Element x y z (fractional)
Rb  0.0000  0.0000  0.0000
Bi  0.5000  0.5000  0.5000
N  0.0000  0.0000  0.5000
F  0.0000  0.5000  0.0000
F  0.5000  0.0000  0.0000

Magnetic moment ... 0.10 μB/cell
Crystal system ... tetragonal
Energy above the most stable polymorph in this dataset ... 1.351 eV per atom
Space group ... P4/mmm (123)

---

A plane-wave DFT calculation with GGA-PBE was carried out for crystalline ReBiNF2 at its relaxed geometry.

Cell lengths 4.4151, 4.4151, 3.8282 Å; angles 90.00, 90.00, 90.00 degrees
Element x y z (fractional)
Re  0.0000  0.0000  0.0000
Bi  0.5000  0.5000  0.5000
N  0.0000  0.0000  0.5000
F  0.0000  0.5000  0.0000
F  0.5000  0.0000  0.0000

Magnetic moment ... 0.00 μB/cell
Crystal system ... tetragonal
Energy above the most stable polymorph in this dataset ... 0.000 eV per atom
Space group ... P4/mmm (123)

---

A plane-wave DFT calculation with GGA-PBE was carried out for crystalline ReBiNF2 at its relaxed geometry.

Cell lengths 4.4907, 4.4907, 4.7028 Å; angles 90.00, 90.00, 90.00 degrees
Element x y z (fractional)
Re  0.0000  0.0000  0.0000
Bi  0.5000  0.5000  0.5000
N  0.5000  0.5000  0.0000
F  0.0000  0.5000  0.5000
F  0.5000  0.0000  0.5000

Magnetic moment ... 5.22 μB/cell
Crystal system ... tetragonal
Energy above the most stable polymorph in this dataset ... 0.924 eV per atom
Space group ... P4/mmm (123)

---

A plane-wave DFT calculation with GGA-PBE was carried out for crystalline BiRhNF2 at its relaxed geometry.

Cell lengths 4.4949, 4.4949, 4.3682 Å; angles 90.00, 90.00, 90.00 degrees
Element x y z (fractional)
Bi  0.0000  0.0000  0.0000
Rh  0.5000  0.5000  0.5000
N  0.0000  0.0000  0.5000
F  0.0000  0.5000  0.0000
F  0.5000  0.0000  0.0000

Magnetic moment ... 2.10 μB/cell
Crystal system ... tetragonal
Energy above the most stable polymorph in this dataset ... 0.472 eV per atom
Space group ... P4/mmm (123)

---

A plane-wave DFT calculation with GGA-PBE was carried out for crystalline BiRhNF2 at its relaxed geometry.

Cell lengths 4.5621, 4.5621, 3.6790 Å; angles 90.00, 90.00, 90.00 degrees
Element x y z (fractional)
Bi  0.0000  0.0000  0.0000
Rh  0.5000  0.5000  0.5000
N  0.5000  0.5000  0.0000
F  0.0000  0.5000  0.5000
F  0.5000  0.0000  0.5000

Magnetic moment ... 0.00 μB/cell
Crystal system ... tetragonal
Energy above the most stable polymorph in this dataset ... 0.000 eV per atom
Space group ... P4/mmm (123)

---

Number 1: raw formation energy 0.389 eV/atom. Number 2: raw formation energy 0.258 eV/atom. Number 3: raw formation energy 1.089 eV/atom. Number 4: raw formation energy 0.662 eV/atom. Number 5: raw formation energy -0.157 eV/atom. Number 6: raw formation energy 0.202 eV/atom. Number 7: raw formation energy -1.189 eV/atom. Number 8: raw formation energy 0.162 eV/atom. Number 9: raw formation energy -0.321 eV/atom. Number 10: raw formation energy 0.603 eV/atom. Number 11: raw formation energy 0.127 eV/atom. Number 12: raw formation energy -0.345 eV/atom.